--- A ---
First-principles (PBE) data for an optimized crystal structure of PmScBe, as listed in OQMD.

Cell lengths 6.6048, 6.6048, 6.6048 Å; angles 90.00, 90.00, 90.00 degrees
With the nearest neighbours (Å) after each atom.
Space group F-43m (No. 216)
Asymmetric unit:
Pm  0.0000  0.0000  0.0000 (multiplicity 4)  4 Be 2.86, 4 Sc 2.86
Sc  0.2500  0.2500  0.2500 (multiplicity 4)  4 Pm 2.86
Be  0.2500  0.2500  0.7500 (multiplicity 4)  4 Pm 2.86

--- B ---
First-principles (PBE) data for an optimized crystal structure of PmScBe, as listed in OQMD.

Cell lengths 6.5475, 6.5475, 6.5475 Å; angles 90.00, 90.00, 90.00 degrees
With the nearest neighbours (Å) after each atom.
Space group F-43m (No. 216)
Asymmetric unit:
Pm  0.0000  0.0000  0.0000 (multiplicity 4)  4 Sc 2.84
Sc  0.2500  0.2500  0.7500 (multiplicity 4)  4 Be 2.84, 4 Pm 2.84
Be  0.0000  0.0000  0.5000 (multiplicity 4)  4 Sc 2.84

Energetically preferred structure: B | next structure: +157 meV/atom

--- A ---
First-principles (PBE) data for an optimized crystal structure of PmBeSn, as listed in OQMD.

Cell lengths 6.7586, 6.7586, 6.7586 Å; angles 90.00, 90.00, 90.00 degrees
With the nearest neighbours (Å) after each atom.
Space group F-43m (No. 216)
Asymmetric unit:
Pm  0.0000  0.0000  0.0000 (multiplicity 4)  4 Sn 2.93
Be  0.0000  0.0000  0.5000 (multiplicity 4)  4 Sn 2.93
Sn  0.2500  0.2500  0.7500 (multiplicity 4)  4 Be 2.93, 4 Pm 2.93

--- B ---
First-principles (PBE) data for an optimized crystal structure of PmBeSn, as listed in OQMD.

Cell lengths 6.9575, 6.9575, 6.9575 Å; angles 90.00, 90.00, 90.00 degrees
With the nearest neighbours (Å) after each atom.
Space group F-43m (No. 216)
Asymmetric unit:
Pm  0.0000  0.0000  0.0000 (multiplicity 4)  4 Sn 3.01, 4 Be 3.01
Be  0.2500  0.2500  0.7500 (multiplicity 4)  4 Pm 3.01
Sn  0.2500  0.2500  0.2500 (multiplicity 4)  4 Pm 3.01

Energetically preferred structure: A | next structure: +258 meV/atom